(1)
Tl2AsPb: optimized geometry, GGA-PBE.

a b c (Å): 3.456 4.781 6.857
angles (deg): 90.00 93.53 90.00
Space group P2/m (No. 10)
Asymmetric unit:
Tl 0.043 0.000 0.268 (multiplicity 2)
As 0.500 0.500 0.500 (multiplicity 1)
Pb 0.500 0.500 0.000 (multiplicity 1)

Fermi-level density of states = 1.362 states/eV/cell
uncorrected energy = -3.149 eV per atom
calculated formation energy = 0.493 eV per formula unit
M_tot = 0.00 μB per formula unit

(2)
TlAs2Pb: optimized geometry, GGA-PBE.

a b c (Å): 4.171 4.171 6.814
angles (deg): 90.00 90.00 90.00
Space group P4/mmm (No. 123)
Asymmetric unit:
Tl 0.000 0.000 0.000 (multiplicity 1)
As 0.500 0.500 0.322 (multiplicity 2)
Pb 0.000 0.000 0.500 (multiplicity 1)

Fermi-level density of states = 1.191 states/eV/cell
uncorrected energy = -3.762 eV per atom
calculated formation energy = 0.327 eV per formula unit
M_tot = 0.00 μB per formula unit

(3)
TlAs2Pb: optimized geometry, GGA-PBE.

a b c (Å): 3.4019 3.4019 31.0536
angles (deg): 90.00 90.00 120.00
Space group R-3m (No. 166, hexagonal axes)
Asymmetric unit:
Tl 0.0000 0.0000 0.0000 (multiplicity 3)
As 0.0000 0.0000 0.2479 (multiplicity 6)
Pb 0.0000 0.0000 0.5000 (multiplicity 3)

Fermi-level density of states = 8.253 states/eV/cell
uncorrected energy = -3.496 eV per atom
calculated formation energy = 1.390 eV per formula unit
M_tot = 0.00 μB per formula unit

(4)
Tl3As2Pb2: optimized geometry, GGA-PBE.

a b c (Å): 4.195 6.745 8.358
angles (deg): 108.91 90.13 108.04
Space group P-1 (No. 2)
Asymmetric unit:
Tl 0.000 0.000 0.000 (multiplicity 1)
Tl 0.118 0.235 0.434 (multiplicity 2)
As 0.305 0.610 0.800 (multiplicity 2)
Pb 0.349 0.700 0.186 (multiplicity 2)

Fermi-level density of states = 2.480 states/eV/cell
uncorrected energy = -3.402 eV per atom
calculated formation energy = 0.001 eV per formula unit
M_tot = 0.00 μB per formula unit